1.
VASP calculation (PBE) on PmY2Al after structural relaxation.

Lattice parameters (Å, degrees): 3.6136 3.6136 31.5192 90.00 90.00 120.00
Space group R3m (No. 160, hexagonal axes)
Symmetry-distinct sites (fractional):
Pm: 0.0000 0.0000 0.0000 (multiplicity 3)
Y: 0.0000 0.0000 0.5710 (multiplicity 3)
Y: 0.0000 0.0000 0.7616 (multiplicity 3)
Al: 0.0000 0.0000 0.1660 (multiplicity 3)

Results
- size of the total moment (μB/f.u.) = 0.001
- total energy (eV/atom) = -5.4372

---

2.
VASP calculation (PBE) on Pm2Y2Al after structural relaxation.

Lattice parameters (Å, degrees): 3.556 3.556 23.587 90.00 90.00 90.00
Space group I4/mmm (No. 139)
Symmetry-distinct sites (fractional):
Pm: 0.000 0.000 0.193 (multiplicity 4)
Y: 0.000 0.000 0.419 (multiplicity 4)
Al: 0.000 0.000 0.000 (multiplicity 2)

Results
- size of the total moment (μB/f.u.) = 0.000
- total energy (eV/atom) = -5.3950

---

3.
VASP calculation (PBE) on PmY2Al9 after structural relaxation.

Lattice parameters (Å, degrees): 5.6014 5.6014 26.3142 90.00 90.00 120.00
Space group R-3m (No. 166, hexagonal axes)
Symmetry-distinct sites (fractional):
Pm: 0.0000 0.0000 0.0000 (multiplicity 3)
Y: 0.0000 0.0000 0.1418 (multiplicity 6)
Al: 0.0000 0.0000 0.3355 (multiplicity 6)
Al: 0.0000 0.0000 0.5000 (multiplicity 3)
Al: 0.0076 0.5038 0.9164 (multiplicity 18)

Results
- size of the total moment (μB/f.u.) = 0.000
- total energy (eV/atom) = -4.6719

---

4.
VASP calculation (PBE) on Pm4Y3Al4 after structural relaxation.

Lattice parameters (Å, degrees): 3.554 9.219 18.723 90.00 90.00 90.00
Space group Immm (No. 71)
Symmetry-distinct sites (fractional):
Pm: 0.000 0.177 0.165 (multiplicity 8)
Y: 0.000 0.000 0.406 (multiplicity 4)
Y: 0.000 0.500 0.500 (multiplicity 2)
Al: 0.000 0.279 0.000 (multiplicity 4)
Al: 0.000 0.500 0.224 (multiplicity 4)

Results
- size of the total moment (μB/f.u.) = 0.000
- total energy (eV/atom) = -5.0906

---

5.
VASP calculation (PBE) on Pm2YAl after structural relaxation.

Lattice parameters (Å, degrees): 7.703 7.703 7.703 90.00 90.00 90.00
Space group Fm-3m (No. 225)
Symmetry-distinct sites (fractional):
Pm: 0.250 0.250 0.250 (multiplicity 8)
Y: 0.000 0.000 0.000 (multiplicity 4)
Al: 0.000 0.000 0.500 (multiplicity 4)

Results
- size of the total moment (μB/f.u.) = 0.005
- total energy (eV/atom) = -4.9718

---

6.
VASP calculation (PBE) on Pm3YAl8 after structural relaxation.

Lattice parameters (Å, degrees): 5.6244 5.6244 9.2699 90.00 90.00 120.00
Space group P3m1 (No. 156)
Symmetry-distinct sites (fractional):
Pm: 0.0000 0.0000 0.0000 (multiplicity 1)
Pm: 0.0000 0.0000 0.3632 (multiplicity 1)
Pm: 0.3333 0.6667 0.8634 (multiplicity 1)
Y: 0.3333 0.6667 0.4990 (multiplicity 1)
Al: 0.0089 0.5045 0.1824 (multiplicity 3)
Al: 0.3246 0.1623 0.6788 (multiplicity 3)
Al: 0.6667 0.3333 0.4318 (multiplicity 1)
Al: 0.6667 0.3333 0.9295 (multiplicity 1)

Results
- size of the total moment (μB/f.u.) = 0.000
- total energy (eV/atom) = -4.7246

---

7.
VASP calculation (PBE) on Pm7Y12Al after structural relaxation.

Lattice parameters (Å, degrees): 12.7437 12.7437 14.0118 90.00 90.00 120.00
Space group R-3 (No. 148, hexagonal axes)
Symmetry-distinct sites (fractional):
Pm: 0.0000 0.0000 0.0000 (multiplicity 3)
Pm: 0.0684 0.1958 0.3511 (multiplicity 18)
Y: 0.0004 0.4359 0.2529 (multiplicity 18)
Y: 0.0660 0.8680 0.8468 (multiplicity 18)
Al: 0.0000 0.0000 0.5000 (multiplicity 3)

Results
- size of the total moment (μB/f.u.) = 0.000
- total energy (eV/atom) = -5.4943

---

8.
VASP calculation (PBE) on PmY5Al3 after structural relaxation.

Lattice parameters (Å, degrees): 9.1525 9.1525 6.6757 90.00 90.00 120.00
Space group P6_3/mcm (No. 193)
Symmetry-distinct sites (fractional):
Pm: 0.0000 0.0000 0.0000 (multiplicity 2)
Y: 0.0000 0.3310 0.2500 (multiplicity 6)
Y: 0.3333 0.6667 0.0000 (multiplicity 4)
Al: 0.0000 0.3392 0.7500 (multiplicity 6)

Results
- size of the total moment (μB/f.u.) = 0.001
- total energy (eV/atom) = -5.6485

---

9.
VASP calculation (PBE) on Pm5YAl6 after structural relaxation.

Lattice parameters (Å, degrees): 5.210 7.368 15.626 90.00 90.00 90.00
Space group Immm (No. 71)
Symmetry-distinct sites (fractional):
Pm: 0.000 0.000 0.000 (multiplicity 2)
Pm: 0.000 0.000 0.330 (multiplicity 4)
Pm: 0.000 0.500 0.335 (multiplicity 4)
Y: 0.000 0.500 0.000 (multiplicity 2)
Al: 0.000 0.239 0.500 (multiplicity 4)
Al: 0.000 0.256 0.164 (multiplicity 8)

Results
- size of the total moment (μB/f.u.) = 0.000
- total energy (eV/atom) = -4.7663

---

10.
VASP calculation (PBE) on PmY2Al2Zn2 after structural relaxation.

Lattice parameters (Å, degrees): 4.5215 4.5215 27.8823 90.00 90.00 120.00
Space group R-3m (No. 166, hexagonal axes)
Symmetry-distinct sites (fractional):
Pm: 0.0000 0.0000 0.0000 (multiplicity 3)
Y: 0.0000 0.0000 0.1280 (multiplicity 6)
Al: 0.0000 0.0000 0.2613 (multiplicity 6)
Zn: 0.0000 0.0000 0.4013 (multiplicity 6)

Results
- size of the total moment (μB/f.u.) = 0.000
- total energy (eV/atom) = -4.2847

---

11.
VASP calculation (PBE) on Pm4Al3Zn after structural relaxation.

Lattice parameters (Å, degrees): 3.769 4.544 12.075 90.00 90.00 90.00
Space group Pmm2 (No. 25)
Symmetry-distinct sites (fractional):
Pm: 0.000 0.000 0.000 (multiplicity 1)
Pm: 0.000 0.500 0.305 (multiplicity 1)
Pm: 0.500 0.000 0.495 (multiplicity 1)
Pm: 0.500 0.500 0.806 (multiplicity 1)
Al: 0.000 0.000 0.716 (multiplicity 1)
Al: 0.000 0.500 0.587 (multiplicity 1)
Al: 0.500 0.500 0.089 (multiplicity 1)
Zn: 0.500 0.000 0.216 (multiplicity 1)

Results
- size of the total moment (μB/f.u.) = 0.000
- total energy (eV/atom) = -4.2684

---

12.
VASP calculation (PBE) on Pm5Al4Zn after structural relaxation.

Lattice parameters (Å, degrees): 3.683 3.683 18.589 90.00 90.00 90.00
Space group P4/mmm (No. 123)
Symmetry-distinct sites (fractional):
Pm: 0.000 0.000 0.000 (multiplicity 1)
Pm: 0.000 0.000 0.201 (multiplicity 2)
Pm: 0.000 0.000 0.403 (multiplicity 2)
Al: 0.500 0.500 0.100 (multiplicity 2)
Al: 0.500 0.500 0.302 (multiplicity 2)
Zn: 0.500 0.500 0.500 (multiplicity 1)

Results
- size of the total moment (μB/f.u.) = 0.000
- total energy (eV/atom) = -4.3564

---

What did the fourth record say?
VASP calculation (PBE) on Pm4Y3Al4 after structural relaxation.

Lattice parameters (Å, degrees): 3.554 9.219 18.723 90.00 90.00 90.00
Space group Immm (No. 71)
Symmetry-distinct sites (fractional):
Pm: 0.000 0.177 0.165 (multiplicity 8)
Y: 0.000 0.000 0.406 (multiplicity 4)
Y: 0.000 0.500 0.500 (multiplicity 2)
Al: 0.000 0.279 0.000 (multiplicity 4)
Al: 0.000 0.500 0.224 (multiplicity 4)

Results
- size of the total moment (μB/f.u.) = 0.000
- total energy (eV/atom) = -5.0906

---

What is the size of the total moment in the first record? 0.001 μB/f.u.

---

Repeat the twelfth record exactly.
VASP calculation (PBE) on Pm5Al4Zn after structural relaxation.

Lattice parameters (Å, degrees): 3.683 3.683 18.589 90.00 90.00 90.00
Space group P4/mmm (No. 123)
Symmetry-distinct sites (fractional):
Pm: 0.000 0.000 0.000 (multiplicity 1)
Pm: 0.000 0.000 0.201 (multiplicity 2)
Pm: 0.000 0.000 0.403 (multiplicity 2)
Al: 0.500 0.500 0.100 (multiplicity 2)
Al: 0.500 0.500 0.302 (multiplicity 2)
Zn: 0.500 0.500 0.500 (multiplicity 1)

Results
- size of the total moment (μB/f.u.) = 0.000
- total energy (eV/atom) = -4.3564

---

Repeat the first record exactly.
VASP calculation (PBE) on PmY2Al after structural relaxation.

Lattice parameters (Å, degrees): 3.6136 3.6136 31.5192 90.00 90.00 120.00
Space group R3m (No. 160, hexagonal axes)
Symmetry-distinct sites (fractional):
Pm: 0.0000 0.0000 0.0000 (multiplicity 3)
Y: 0.0000 0.0000 0.5710 (multiplicity 3)
Y: 0.0000 0.0000 0.7616 (multiplicity 3)
Al: 0.0000 0.0000 0.1660 (multiplicity 3)

Results
- size of the total moment (μB/f.u.) = 0.001
- total energy (eV/atom) = -5.4372